This record from Alexandria describes crystalline LaTb3Dy6 at its relaxed geometry. The functional is PBE-GGA.

Structure (extended XYZ):
```
10
Lattice="8.714 0.000 4.624 3.130 8.132 4.624 2.211 1.518 6.356" Properties=species:S:1:pos:R:3 pbc="T T T"
Tb 7.785 5.345 6.376
Tb 3.002 2.062 4.865
Tb 6.502 4.465 8.792
Dy 6.340 2.341 5.597
Dy 8.333 1.809 8.775
Dy 3.660 4.474 7.266
Dy 5.503 7.782 7.136
Dy 10.292 5.076 8.691
Dy 7.537 7.128 10.290
La 11.322 7.774 10.232
```

As for the offset from the most stable computed form: 145.8 meV/atom. The formation enthalpy at 0 K is 0.28 eV/atom. Its symmetry is R3.

=====

This record from Alexandria describes crystalline BaTa3Co at its relaxed geometry. The functional is PBE-GGA.

Structure (extended XYZ):
```
5
Lattice="4.809 0.000 0.000 0.000 4.809 0.000 0.000 0.000 4.809" Properties=species:S:1:pos:R:3 pbc="T T T"
Ba 2.405 2.405 2.405
Co 0.000 0.000 0.000
Ta 0.000 0.000 2.405
Ta 0.000 2.405 0.000
Ta 2.405 0.000 0.000
```

As for the offset from the most stable computed form: 0.0 meV/atom. The formation enthalpy at 0 K is 0.98 eV/atom. Its symmetry is Pm-3m.